Sm2YPaP4 GGA-PBE optimized geometry; volume = 186.8 Å³/f.u.; total DFT energy (no corrections) = -7.4144 eV per atom; SG = P2/m; N(E_F) = 4.6 states/eV/cell; size of the total moment = 0.0 μB/f.u.
1.0
-1.033 -2.579 -2.942
1.593 -5.378 4.155
-6.745 1.705 0.874
P Pa Sm Y
4 1 2 1
direct
0.500 0.252 0.240 P
0.500 0.748 0.760 P
0.000 0.257 0.761 P
0.000 0.743 0.239 P
0.500 0.500 0.000 Pa
0.500 0.000 0.500 Sm
0.000 0.500 0.500 Sm
0.000 0.000 0.000 Y

CaPCl2 GGA-PBE optimized geometry; volume = 95.7 Å³/f.u.; total DFT energy (no corrections) = -3.6425 eV per atom; SG = Fmmm; N(E_F) = 1.7 states/eV/cell; formation energy from raw total energies = -0.866 eV per atom; size of the total moment = 0.1 μB/f.u.; distance to the lowest polymorph of the same formula = 193 meV per atom
1.0
5.340 0.009 -0.022
-1.984 4.324 -0.041
1.992 1.306 4.120
P Cl Ca
1 2 1
direct
0.500 0.500 0.000 P
0.000 0.000 0.000 Cl
0.000 0.500 0.500 Cl
0.500 0.000 0.500 Ca

Tb6Pm5Pr GGA-PBE optimized geometry; volume = 399.1 Å³/f.u.; total DFT energy (no corrections) = -4.6789 eV per atom; SG = Immm; N(E_F) = 15.8 states/eV/cell; size of the total moment = 0.0 μB/f.u.
1.0
4.908 0.019 -1.431
-1.392 8.946 -4.660
0.115 -0.820 9.516
Tb Pm Pr
6 5 1
direct
0.833 0.084 0.666 Tb
0.500 0.749 0.000 Tb
0.500 0.251 0.000 Tb
0.833 0.583 0.666 Tb
0.167 0.417 0.334 Tb
0.167 0.916 0.334 Tb
0.333 0.833 0.666 Pm
0.000 0.500 0.000 Pm
0.333 0.333 0.667 Pm
0.667 0.167 0.334 Pm
0.667 0.667 0.333 Pm
0.000 0.000 0.000 Pr

NaBiBr3 GGA-PBE optimized geometry; volume = 205.9 Å³/f.u.; total DFT energy (no corrections) = -2.7567 eV per atom; SG = Pm-3m; N(E_F) = 2.1 states/eV/cell; formation energy from raw total energies = -0.713 eV per atom; size of the total moment = 0.0 μB/f.u.; distance to the lowest polymorph of the same formula = 204 meV per atom
1.0
-2.224 -3.394 4.290
1.253 -4.824 -3.167
5.325 -0.283 2.537
Br Bi Na
3 1 1
direct
0.000 0.500 0.000 Br
0.000 0.000 0.500 Br
0.500 0.000 0.000 Br
0.000 0.000 0.000 Bi
0.500 0.500 0.500 Na

BaCa2Mg2Sn2 GGA-PBE optimized geometry; volume = 219.8 Å³/f.u.; total DFT energy (no corrections) = -2.9079 eV per atom; SG = R-3m; N(E_F) = 1.5 states/eV/cell; size of the total moment = 0.0 μB/f.u.
1.0
-1.059 1.662 -4.728
-2.823 -2.883 -3.156
-9.330 3.851 0.670
Sn Ca Mg Ba
2 2 2 1
direct
0.253 0.253 0.240 Sn
0.747 0.747 0.760 Sn
0.862 0.862 0.414 Ca
0.138 0.138 0.586 Ca
0.434 0.434 0.699 Mg
0.566 0.566 0.301 Mg
0.000 0.000 0.000 Ba

RbLaSe3 GGA-PBE optimized geometry; volume = 199.3 Å³/f.u.; total DFT energy (no corrections) = -4.3089 eV per atom; SG = Pm-3m; N(E_F) = 10.8 states/eV/cell; formation energy from raw total energies = -1.039 eV per atom; size of the total moment = 0.0 μB/f.u.; distance to the lowest polymorph of the same formula = 0 meV per atom
1.0
-4.388 -2.547 -2.895
2.569 -5.201 0.683
-2.876 -0.760 5.027
Se La Rb
3 1 1
direct
0.000 0.500 0.000 Se
0.000 0.000 0.500 Se
0.500 0.000 0.000 Se
0.000 0.000 0.000 La
0.500 0.500 0.500 Rb

NiAsRhBr2 GGA-PBE optimized geometry; volume = 126.3 Å³/f.u.; total DFT energy (no corrections) = -3.5405 eV per atom; SG = P4/mmm; N(E_F) = 11.6 states/eV/cell; formation energy from raw total energies = 0.685 eV per atom; size of the total moment = 0.9 μB/f.u.; distance to the lowest polymorph of the same formula = 0 meV per atom
1.0
5.243 0.000 0.000
0.000 5.243 0.000
0.000 0.000 4.594
Br Rh As Ni
2 1 1 1
direct
0.500 0.000 0.000 Br
0.000 0.500 0.000 Br
0.000 0.000 0.000 Rh
0.000 0.000 0.500 As
0.500 0.500 0.500 Ni

ZrCoAg2Sn GGA-PBE optimized geometry; volume = 105.4 Å³/f.u.; total DFT energy (no corrections) = -4.5137 eV per atom; SG = P4/mmm; N(E_F) = 8.1 states/eV/cell; size of the total moment = 0.0 μB/f.u.
1.0
-2.683 -3.897 0.430
3.200 -2.462 -2.346
2.185 -1.053 4.085
Sn Co Zr Ag
1 1 1 2
direct
0.000 0.500 0.000 Sn
0.000 0.000 0.000 Co
0.500 0.500 0.500 Zr
0.000 0.000 0.500 Ag
0.500 0.000 0.000 Ag

CaZnTe2N GGA-PBE optimized geometry; volume = 125.1 Å³/f.u.; total DFT energy (no corrections) = -3.4844 eV per atom; SG = P4/mmm; N(E_F) = 3.4 states/eV/cell; formation energy from raw total energies = 0.092 eV per atom; size of the total moment = 2.0 μB/f.u.; distance to the lowest polymorph of the same formula = 0 meV per atom
1.0
5.788 0.000 0.000
0.000 5.788 0.000
0.000 0.000 3.735
Te N Ca Zn
2 1 1 1
direct
0.000 0.500 0.000 Te
0.500 0.000 0.000 Te
0.000 0.000 0.500 N
0.500 0.500 0.500 Ca
0.000 0.000 0.000 Zn

SrCuTe2 GGA-PBE optimized geometry; volume = 130.1 Å³/f.u.; total DFT energy (no corrections) = -3.1278 eV per atom; SG = R-3m; N(E_F) = 4.2 states/eV/cell; formation energy from raw total energies = -0.112 eV per atom; size of the total moment = 0.0 μB/f.u.
1.0
-2.251 -8.959 2.897
-0.008 -7.648 5.936
-3.894 -6.723 5.776
Te Cu Sr
2 1 1
direct
0.115 0.115 0.115 Te
0.885 0.885 0.885 Te
0.500 0.500 0.500 Cu
0.000 0.000 0.000 Sr

ScPtN3 GGA-PBE optimized geometry; volume = 59.3 Å³/f.u.; total DFT energy (no corrections) = -6.5589 eV per atom; SG = Pm-3m; N(E_F) = 4.8 states/eV/cell; formation energy from raw total energies = 0.911 eV per atom; size of the total moment = 1.6 μB/f.u.
1.0
-2.080 -1.220 -3.064
1.378 -3.612 0.504
-2.996 -0.814 2.358
N Sc Pt
3 1 1
direct
0.000 0.500 0.000 N
0.500 0.000 0.000 N
0.000 0.000 0.500 N
0.500 0.500 0.500 Sc
0.000 0.000 0.000 Pt

BaSnAsS2 GGA-PBE optimized geometry; volume = 140.2 Å³/f.u.; total DFT energy (no corrections) = -4.3190 eV per atom; SG = P4/mmm; N(E_F) = 3.0 states/eV/cell; formation energy from raw total energies = -0.553 eV per atom; size of the total moment = 0.0 μB/f.u.
1.0
5.192 0.000 0.000
0.000 5.203 0.000
0.000 0.000 5.192
S As Ba Sn
2 1 1 1
direct
0.500 0.000 0.000 S
0.000 0.000 0.500 S
0.000 0.500 0.000 As
0.500 0.500 0.500 Ba
0.000 0.000 0.000 Sn